Entry 1:
First-principles (SCAN) data for a crystal of LiNiAsO4 relaxed with PBEsol, as listed in Alexandria.

abc: 10.2365 5.8357 4.8527
angles: 90.00 90.00 90.00
Last column: nearest neighbours and their distance in Å.
Fractional coordinates of all 28 atoms:
Li (0.0000, 0.0000, 0.0000)  6 O 2.03-2.20
Li (0.0000, 0.5000, 0.0000)  6 O 2.03-2.20
Li (0.5000, 0.0000, 0.5000)  6 O 2.03-2.20
Li (0.5000, 0.5000, 0.5000)  6 O 2.03-2.20
Ni (0.2302, 0.2500, 0.4968)  6 O 2.02-2.13
Ni (0.2698, 0.7500, 0.9968)  6 O 2.02-2.13
Ni (0.7302, 0.2500, 0.0032)  6 O 2.02-2.13
Ni (0.7698, 0.7500, 0.5032)  6 O 2.02-2.13
As (0.0944, 0.7500, 0.4398)  4 O 1.70-1.74
As (0.4056, 0.2500, 0.9398)  4 O 1.70-1.74
As (0.5944, 0.7500, 0.0602)  4 O 1.70-1.74
As (0.9056, 0.2500, 0.5602)  4 O 1.70-1.74
O (0.0592, 0.2500, 0.7041)  1 As 1.72
O (0.0953, 0.7500, 0.7901)  1 As 1.70
O (0.1715, 0.5231, 0.2724)  1 As 1.74
O (0.1715, 0.9769, 0.2724)  1 As 1.74
O (0.3285, 0.0231, 0.7724)  1 As 1.74
O (0.3285, 0.4769, 0.7724)  1 As 1.74
O (0.4047, 0.2500, 0.2901)  1 As 1.70
O (0.4408, 0.7500, 0.2041)  1 As 1.72
O (0.5592, 0.2500, 0.7959)  1 As 1.72
O (0.5953, 0.7500, 0.7099)  1 As 1.70
O (0.6715, 0.5231, 0.2276)  1 As 1.74
O (0.6715, 0.9769, 0.2276)  1 As 1.74
O (0.8285, 0.0231, 0.7276)  1 As 1.74
O (0.8285, 0.4769, 0.7276)  1 As 1.74
O (0.9047, 0.2500, 0.2099)  1 As 1.70
O (0.9408, 0.7500, 0.2959)  1 As 1.72

Values from the calculation:
Energy above the most stable polymorph in this dataset: 0.011 eV/atom
Formation energy without anion corrections: -1.652 eV/atom



Entry 2:
First-principles (SCAN) data for a crystal of Li3AsO relaxed with PBEsol, as listed in Alexandria.

abc: 3.8859 3.8859 3.8859
angles: 90.00 90.00 90.00
Last column: nearest neighbours and their distance in Å.
Fractional coordinates of all 5 atoms:
Li (0.0000, 0.0000, 0.5000)  2 O 1.94
Li (0.0000, 0.5000, 0.0000)  2 O 1.94
Li (0.5000, 0.0000, 0.0000)  2 O 1.94
As (0.5000, 0.5000, 0.5000)  12 Li 2.75
O (0.0000, 0.0000, 0.0000)  6 Li 1.94

Values from the calculation:
Energy above the most stable polymorph in this dataset: 0.000 eV/atom
Formation energy without anion corrections: -1.082 eV/atom



Entry 3:
First-principles (SCAN) data for a crystal of Li3AsO4 relaxed with PBEsol, as listed in Alexandria.

abc: 6.2628 5.3924 4.9509
angles: 90.00 90.00 90.00
Last column: nearest neighbours and their distance in Å.
Fractional coordinates of all 16 atoms:
Li (0.0000, 0.1649, 0.0005)  4 O 1.97-1.99
Li (0.2478, 0.3314, 0.5000)  4 O 1.93-1.96
Li (0.2522, 0.6686, 0.0000)  4 O 1.93-1.96
Li (0.5000, 0.8351, 0.5005)  4 O 1.97-1.99
Li (0.7478, 0.6686, 0.0000)  4 O 1.93-1.96
Li (0.7522, 0.3314, 0.5000)  4 O 1.93-1.96
As (0.0000, 0.8297, 0.4923)  4 O 1.71-1.72
As (0.5000, 0.1703, 0.9923)  4 O 1.71-1.72
O (0.0000, 0.1307, 0.6035)  1 As 1.71
O (0.0000, 0.8250, 0.1461)  1 As 1.71
O (0.2241, 0.6790, 0.6053)  1 As 1.72
O (0.2759, 0.3210, 0.1053)  1 As 1.72
O (0.5000, 0.1750, 0.6460)  1 As 1.71
O (0.5000, 0.8693, 0.1035)  1 As 1.71
O (0.7241, 0.3210, 0.1053)  1 As 1.72
O (0.7759, 0.6790, 0.6053)  1 As 1.72

Values from the calculation:
Energy above the most stable polymorph in this dataset: 0.000 eV/atom
Formation energy without anion corrections: -2.105 eV/atom



Entry 4:
First-principles (SCAN) data for a crystal of Li3AsO relaxed with PBEsol, as listed in Alexandria.

abc: 4.7243 4.7243 4.7243
angles: 90.00 90.00 90.00
Last column: nearest neighbours and their distance in Å.
Fractional coordinates of all 5 atoms:
Li (0.0000, 0.0000, 0.5000)  2 As 2.36
Li (0.0000, 0.5000, 0.0000)  2 As 2.36
Li (0.5000, 0.0000, 0.0000)  2 As 2.36
As (0.0000, 0.0000, 0.0000)  6 Li 2.36
O (0.5000, 0.5000, 0.5000)  12 Li 3.34

Values from the calculation:
Energy above the most stable polymorph in this dataset: 1.004 eV/atom
Formation energy without anion corrections: -0.078 eV/atom